# 1
A plane-wave DFT calculation with PBE-GGA was carried out for a relaxed structure of SrCd2Fe.

Summary:
Energy of formation from the pure elements (meV/atom): 173.3
Magnetic moment (μB per formula unit): 2.6

Cell: 8.066 4.640 6.285 Å, 90.00 115.13 90.00°
Space group C2/m (No. 12)
Unique sites:
Sr: 0.000 0.000 0.000 x2
Cd: 0.205 0.000 0.614 x4
Fe: 0.000 0.500 0.500 x2

=====

# 2
A plane-wave DFT calculation with PBE-GGA was carried out for a relaxed structure of SrCdFe4.

Summary:
Energy of formation from the pure elements (meV/atom): 345.7
Magnetic moment (μB per formula unit): 9.9

Cell: 7.367 7.367 7.367 Å, 90.00 90.00 90.00°
Space group F-43m (No. 216)
Unique sites:
Sr: 0.000 0.000 0.000 x4
Cd: 0.250 0.250 0.750 x4
Fe: 0.125 0.125 0.375 x16

=====

# 3
A plane-wave DFT calculation with PBE-GGA was carried out for a relaxed structure of SrCd2Fe.

Summary:
Energy of formation from the pure elements (meV/atom): 415.7
Magnetic moment (μB per formula unit): 2.5

Cell: 5.143 5.143 18.412 Å, 90.00 90.00 90.00°
Space group I-42d (No. 122)
Unique sites:
Sr: 0.000 0.000 0.000 x4
Cd: 0.103 0.250 0.625 x8
Fe: 0.000 0.000 0.500 x4

=====

# 4
A plane-wave DFT calculation with PBE-GGA was carried out for a relaxed structure of SrCd2Fe2.

Summary:
Energy of formation from the pure elements (meV/atom): 337.3
Magnetic moment (μB per formula unit): 4.9

Cell: 8.165 8.165 3.037 Å, 90.00 90.00 90.00°
Space group P4/mbm (No. 127)
Unique sites:
Sr: 0.000 0.000 0.000 x2
Cd: 0.181 0.319 0.500 x4
Fe: 0.104 0.604 0.000 x4

=====

Among the records above, which one has the lowest energy of formation from the pure elements?
number 1

=====

Please write out number 1 again, unchanged.
A plane-wave DFT calculation with PBE-GGA was carried out for a relaxed structure of SrCd2Fe.

Summary:
Energy of formation from the pure elements (meV/atom): 173.3
Magnetic moment (μB per formula unit): 2.6

Cell: 8.066 4.640 6.285 Å, 90.00 115.13 90.00°
Space group C2/m (No. 12)
Unique sites:
Sr: 0.000 0.000 0.000 x2
Cd: 0.205 0.000 0.614 x4
Fe: 0.000 0.500 0.500 x2